Record 1
AlSn2Au | GGA-PBE | relaxed

Properties
- calculated total energy (eV/atom) = -3.696
- theoretical density (g/cm³) = 8.16
- formation energy from the elements (eV per atom) = 0.060

Unit cell a=6.351 b=6.351 c=6.351 alpha=102.80 beta=102.80 gamma=123.83
Element x y z (fractional)
Al1 0.000 0.000 0.000
Al2 0.750 0.250 0.500
Sn1 0.136 0.125 0.511
Sn2 0.375 0.864 0.989
Sn3 0.614 0.625 0.489
Sn4 0.875 0.386 0.011
Au1 0.250 0.750 0.500
Au2 0.500 0.500 0.000

Record 2
ZnMo4I2 | GGA-PBE | relaxed

Properties
- calculated total energy (eV/atom) = -5.197
- theoretical density (g/cm³) = 8.01
- energy relative to the elements, uncorrected (meV/atom) = 1617

Unit cell a=7.519 b=7.519 c=7.519 alpha=144.04 beta=144.04 gamma=51.76
Element x y z (fractional)
Zn1 0.000 0.000 0.000
Mo1 0.000 0.500 0.500
Mo2 0.190 0.190 0.000
Mo3 0.500 0.000 0.500
Mo4 0.810 0.810 0.000
I1 0.379 0.379 0.000
I2 0.621 0.621 0.000